1.
Density functional theory data (GGA-PBEsol) for LiZn2Ag after structural relaxation.

Calculated values
- Calculated formation energy: -0.134 eV per atom
- Symmetry: Cm
- V: 14.6 Å³/atom
- DFT total energy: -9.0 eV/cell

```
4
Lattice="4.622 -1.433 0.000 4.622 1.433 0.000 -1.261 0.000 4.405" Properties=species:S:1:pos:R:3 pbc="T T T"
Li 0.000 0.000 0.000
Zn 1.334 0.000 3.191
Zn 4.020 0.000 2.237
Ag 6.714 0.000 1.009
```



2.
Density functional theory data (GGA-PBEsol) for CrCoIr2 after structural relaxation.

Calculated values
- Calculated formation energy: -0.083 eV per atom
- Symmetry: Cmmm
- V: 12.4 Å³/atom
- DFT total energy: -38.0 eV/cell

```
4
Lattice="2.627 -3.579 0.000 2.627 3.579 0.000 0.000 0.000 2.634" Properties=species:S:1:pos:R:3 pbc="T T T"
Cr 0.000 0.000 0.000
Co 2.627 0.000 0.000
Ir 1.313 1.789 1.317
Ir 1.313 -1.789 1.317
```



3.
Density functional theory data (GGA-PBEsol) for Li4TiS4 after structural relaxation.

Calculated values
- Symmetry: P-43n
- V: 17.8 Å³/atom
- DFT total energy: -361.0 eV/cell
- Offset from the most stable computed form: 0.0580 eV per atom

```
72
Lattice="10.859 0.000 0.000 0.000 10.859 0.000 0.000 0.000 10.859" Properties=species:S:1:pos:R:3 pbc="T T T"
Li 0.927 1.615 7.141
Li 0.927 9.244 3.718
Li 1.615 3.718 9.932
Li 1.615 7.141 0.927
Li 1.716 1.716 1.716
Li 1.711 3.815 4.502
Li 1.711 7.044 6.356
Li 1.716 9.143 9.143
Li 3.718 0.927 9.244
Li 3.713 3.713 7.146
Li 3.713 7.146 3.713
Li 3.718 9.932 1.615
Li 3.815 4.502 1.711
Li 3.815 6.356 9.148
Li 4.502 1.711 3.815
Li 4.502 9.148 7.044
Li 6.356 1.711 7.044
Li 6.356 9.148 3.815
Li 7.044 4.502 9.148
Li 7.044 6.356 1.711
Li 7.141 0.927 1.615
Li 7.146 3.713 3.713
Li 7.146 7.146 7.146
Li 7.141 9.932 9.244
Li 9.143 1.716 9.143
Li 9.148 3.815 6.356
Li 9.148 7.044 4.502
Li 9.143 9.143 1.716
Li 9.244 3.718 0.927
Li 9.244 7.141 9.932
Li 9.932 1.615 3.718
Li 9.932 9.244 7.141
Ti 0.000 0.000 0.000
Ti 0.000 5.429 2.715
Ti 0.000 5.429 8.144
Ti 2.715 0.000 5.429
Ti 5.429 2.715 0.000
Ti 5.429 5.429 5.429
Ti 5.429 8.144 0.000
Ti 8.144 0.000 5.429
S 1.264 4.085 6.893
S 1.264 6.774 3.966
S 1.288 1.288 9.571
S 1.288 9.571 1.288
S 1.345 4.166 1.464
S 1.345 6.693 9.395
S 1.464 1.345 4.166
S 1.464 9.514 6.693
S 3.966 1.264 6.774
S 3.966 9.595 4.085
S 4.085 3.966 9.595
S 4.085 6.893 1.264
S 4.142 4.142 4.142
S 4.142 6.717 6.717
S 4.166 1.464 1.345
S 4.166 9.395 9.514
S 6.693 1.464 9.514
S 6.693 9.395 1.345
S 6.717 4.142 6.717
S 6.717 6.717 4.142
S 6.774 3.966 1.264
S 6.774 6.893 9.595
S 6.893 1.264 4.085
S 6.893 9.595 6.774
S 9.395 1.345 6.693
S 9.395 9.514 4.166
S 9.514 4.166 9.395
S 9.514 6.693 1.464
S 9.571 1.288 1.288
S 9.571 9.571 9.571
S 9.595 4.085 3.966
S 9.595 6.774 6.893
```



4.
Density functional theory data (GGA-PBEsol) for La2ZnIn after structural relaxation.

Calculated values
- Calculated formation energy: -0.375 eV per atom
- Symmetry: P4/mmm
- V: 27.5 Å³/atom
- DFT total energy: -16.8 eV/cell

```
4
Lattice="5.367 0.000 0.000 0.000 5.367 0.000 0.000 0.000 3.823" Properties=species:S:1:pos:R:3 pbc="T T T"
La 0.000 2.684 0.000
La 2.684 0.000 0.000
Zn 0.000 0.000 1.912
In 2.684 2.684 1.912
```



5.
Density functional theory data (GGA-PBEsol) for Mg2MnSe after structural relaxation.

Calculated values
- Symmetry: P4mm
- V: 17.2 Å³/atom
- DFT total energy: -17.2 eV/cell

```
4
Lattice="3.043 0.000 0.000 0.000 3.043 0.000 0.000 0.000 7.435" Properties=species:S:1:pos:R:3 pbc="T T T"
Mg 0.000 0.000 0.000
Mg 1.522 1.522 2.377
Mn 0.000 0.000 4.239
Se 1.522 1.522 5.281
```



6.
Density functional theory data (GGA-PBEsol) for Sr3SiW after structural relaxation.

Calculated values
- Symmetry: Pm-3m
- V: 41.0 Å³/atom
- DFT total energy: -19.3 eV/cell

```
5
Lattice="5.897 0.000 0.000 0.000 5.897 0.000 0.000 0.000 5.897" Properties=species:S:1:pos:R:3 pbc="T T T"
Sr 0.000 0.000 2.949
Sr 0.000 2.949 0.000
Sr 2.949 0.000 0.000
Si 0.000 0.000 0.000
W 2.949 2.949 2.949
```



7.
Density functional theory data (GGA-PBEsol) for AsWSe2Cl after structural relaxation.

Calculated values
- Symmetry: P4/mmm
- V: 20.8 Å³/atom
- DFT total energy: -20.4 eV/cell

```
5
Lattice="4.661 0.000 0.000 0.000 4.661 0.000 0.000 0.000 4.796" Properties=species:S:1:pos:R:3 pbc="T T T"
As 0.000 0.000 0.000
W 2.331 2.331 0.000
Se 0.000 2.331 2.398
Se 2.331 0.000 2.398
Cl 0.000 0.000 2.398
```



8.
Density functional theory data (GGA-PBEsol) for K3Au after structural relaxation.

Calculated values
- Calculated formation energy: -0.058 eV per atom
- Symmetry: Immm
- V: 46.1 Å³/atom
- DFT total energy: -7.6 eV/cell

```
4
Lattice="-2.035 2.786 8.135 2.035 -2.786 8.135 2.035 2.786 -8.135" Properties=species:S:1:pos:R:3 pbc="T T T"
K 0.000 0.000 0.000
K 2.035 0.000 5.479
K 0.000 2.786 2.656
Au 0.000 0.000 8.135
```



9.
Density functional theory data (GGA-PBEsol) for Hf2CuSi4 after structural relaxation.

Calculated values
- Symmetry: Cmcm
- V: 15.2 Å³/atom
- DFT total energy: -105.2 eV/cell

```
14
Lattice="1.826 -16.032 0.000 1.826 16.032 0.000 0.000 0.000 3.645" Properties=species:S:1:pos:R:3 pbc="T T T"
Hf 1.826 14.546 2.733
Hf 1.826 5.660 2.733
Hf 1.826 -5.660 0.911
Hf 1.826 -14.546 0.911
Cu 1.826 8.015 0.911
Cu 1.826 -8.015 2.733
Si 1.826 12.432 0.911
Si 1.826 9.552 2.733
Si 1.826 3.595 0.911
Si 1.826 0.798 2.733
Si 1.826 -0.798 0.911
Si 1.826 -3.595 2.733
Si 1.826 -9.552 0.911
Si 1.826 -12.432 2.733
```



10.
Density functional theory data (GGA-PBEsol) for SiSbTe2I after structural relaxation.

Calculated values
- Symmetry: P4/mmm
- V: 36.6 Å³/atom
- DFT total energy: -12.6 eV/cell

```
5
Lattice="5.672 0.000 0.000 0.000 5.672 0.000 0.000 0.000 5.691" Properties=species:S:1:pos:R:3 pbc="T T T"
Si 0.000 0.000 0.000
Sb 2.836 2.836 0.000
Te 0.000 2.836 2.846
Te 2.836 0.000 2.846
I 2.836 2.836 2.846
```



11.
Density functional theory data (GGA-PBEsol) for Sr3TaN3 after structural relaxation.

Calculated values
- Symmetry: P6_3/m
- V: 20.7 Å³/atom
- DFT total energy: -101.0 eV/cell

```
14
Lattice="7.856 0.000 0.000 -3.928 6.803 0.000 0.000 0.000 5.431" Properties=species:S:1:pos:R:3 pbc="T T T"
Sr -2.072 5.160 1.358
Sr 0.495 2.429 1.358
Sr 2.351 0.786 4.073
Sr 1.577 6.017 1.358
Sr 3.433 4.374 4.073
Sr 6.000 1.643 4.073
Ta 0.000 4.536 4.073
Ta 3.928 2.268 1.358
N -1.873 5.039 4.073
N 0.500 2.662 4.073
N 2.555 0.898 1.358
N 1.373 5.906 4.073
N 3.428 4.142 1.358
N 5.801 1.764 1.358
```



12.
Density functional theory data (GGA-PBEsol) for Li3VO3F2 after structural relaxation.

Calculated values
- Symmetry: Cc
- V: 10.9 Å³/atom
- DFT total energy: -116.1 eV/cell
- Offset from the most stable computed form: 0.0000 eV per atom

```
18
Lattice="4.436 -2.813 0.000 4.436 2.813 0.000 -0.947 0.000 7.865" Properties=species:S:1:pos:R:3 pbc="T T T"
Li 1.416 1.037 2.869
Li 3.962 1.898 3.933
Li 2.671 0.980 6.332
Li 0.942 -1.037 6.802
Li 3.145 -0.980 2.399
Li 4.436 -1.898 0.000
V 5.052 0.972 1.418
V 4.578 -0.972 5.351
O 0.707 0.908 6.650
O 4.453 1.756 0.052
O 1.181 -0.908 2.718
O 4.515 0.725 5.413
O 4.989 -0.725 1.480
O 3.979 -1.756 3.985
F 3.281 0.962 2.367
F 2.808 -0.962 6.300
F 6.872 1.037 0.684
F 6.398 -1.037 4.617
```



13.
Density functional theory data (GGA-PBEsol) for CaTlIn2Ag after structural relaxation.

Calculated values
- Calculated formation energy: 0.859 eV per atom
- Symmetry: P4/mmm
- V: 37.0 Å³/atom
- DFT total energy: -9.7 eV/cell

```
5
Lattice="5.709 0.000 0.000 0.000 5.709 0.000 0.000 0.000 5.680" Properties=species:S:1:pos:R:3 pbc="T T T"
Ca 0.000 0.000 0.000
Tl 0.000 0.000 2.840
In 0.000 2.855 0.000
In 2.855 0.000 0.000
Ag 2.855 2.855 2.840
```



14.
Density functional theory data (GGA-PBEsol) for CaIrOs2 after structural relaxation.

Calculated values
- Calculated formation energy: 0.625 eV per atom
- Symmetry: I4/mmm
- V: 15.7 Å³/atom
- DFT total energy: -33.9 eV/cell
- Offset from the most stable computed form: 0.3868 eV per atom

```
4
Lattice="-1.942 1.942 4.163 1.942 -1.942 4.163 1.942 1.942 -4.163" Properties=species:S:1:pos:R:3 pbc="T T T"
Ca 0.000 0.000 0.000
Ir 0.000 0.000 4.163
Os 1.942 0.000 2.081
Os 0.000 1.942 2.081
```



15.
Density functional theory data (GGA-PBEsol) for TcTeRh2 after structural relaxation.

Calculated values
- Symmetry: P4/mmm
- V: 15.9 Å³/atom
- DFT total energy: -30.4 eV/cell

```
4
Lattice="2.880 0.000 0.000 0.000 2.880 0.000 0.000 0.000 7.651" Properties=species:S:1:pos:R:3 pbc="T T T"
Tc 0.000 0.000 0.000
Te 0.000 0.000 3.825
Rh 1.440 1.440 1.703
Rh 1.440 1.440 5.948
```



16.
Density functional theory data (GGA-PBEsol) for CsPtSeN2 after structural relaxation.

Calculated values
- Symmetry: P4/mmm
- V: 21.2 Å³/atom
- DFT total energy: -15.6 eV/cell

```
5
Lattice="4.033 0.000 0.000 0.000 4.033 0.000 0.000 0.000 6.508" Properties=species:S:1:pos:R:3 pbc="T T T"
Cs 0.000 0.000 0.000
Pt 2.016 2.016 3.254
Se 0.000 0.000 3.254
N 0.000 2.016 0.000
N 2.016 0.000 0.000
```



17.
Density functional theory data (GGA-PBEsol) for K3P11 after structural relaxation.

Calculated values
- Calculated formation energy: -0.274 eV per atom
- Symmetry: Pbcn
- V: 26.5 Å³/atom
- DFT total energy: -283.8 eV/cell

```
56
Lattice="10.378 0.000 0.000 0.000 13.978 0.000 0.000 0.000 10.230" Properties=species:S:1:pos:R:3 pbc="T T T"
K 0.000 2.860 2.558
K 0.000 11.118 7.673
K 2.396 6.819 0.798
K 2.396 7.159 5.914
K 2.793 0.170 5.914
K 2.793 13.808 0.798
K 5.189 4.129 7.673
K 5.189 9.849 2.558
K 7.586 0.170 9.432
K 7.586 13.808 4.317
K 7.982 6.819 4.317
K 7.982 7.159 9.432
P 0.000 0.432 7.673
P 0.000 13.546 2.558
P 0.217 4.883 5.120
P 0.217 9.095 0.005
P 0.809 1.872 9.083
P 0.809 12.107 3.968
P 0.848 5.284 8.383
P 0.848 8.695 3.268
P 1.036 2.991 5.775
P 1.036 10.987 0.660
P 1.896 3.375 7.817
P 1.896 10.603 2.702
P 3.293 3.614 2.702
P 3.293 10.364 7.817
P 4.153 3.998 0.660
P 4.153 9.980 5.775
P 4.342 1.706 3.268
P 4.342 12.273 8.383
P 4.381 5.117 3.968
P 4.381 8.861 9.083
P 4.972 2.106 0.005
P 4.972 11.872 5.120
P 5.189 6.557 2.558
P 5.189 7.422 7.673
P 5.406 2.106 5.110
P 5.406 11.872 10.225
P 5.998 5.117 1.147
P 5.998 8.861 6.262
P 6.037 1.706 1.847
P 6.037 12.273 6.962
P 6.225 3.998 4.455
P 6.225 9.980 9.570
P 7.085 3.614 2.413
P 7.085 10.364 7.529
P 8.482 3.375 7.529
P 8.482 10.603 2.413
P 9.343 2.991 9.570
P 9.343 10.987 4.455
P 9.531 5.284 6.962
P 9.531 8.695 1.847
P 9.570 1.872 6.262
P 9.570 12.107 1.147
P 10.161 4.883 10.225
P 10.161 9.095 5.110
```



18.
Density functional theory data (GGA-PBEsol) for Ba2HgI after structural relaxation.

Calculated values
- Symmetry: Fm-3m
- V: 36.7 Å³/atom
- DFT total energy: -9.7 eV/cell

```
4
Lattice="0.000 4.187 4.187 4.187 0.000 4.187 4.187 4.187 0.000" Properties=species:S:1:pos:R:3 pbc="T T T"
Ba 2.093 2.093 2.093
Ba 6.280 6.280 6.280
Hg 0.000 0.000 0.000
I 4.187 4.187 4.187
```



19.
Density functional theory data (GGA-PBEsol) for NbCoPdPt2 after structural relaxation.

Calculated values
- Calculated formation energy: 1.311 eV per atom
- Symmetry: P4/mmm
- V: 19.4 Å³/atom
- DFT total energy: -31.9 eV/cell

```
5
Lattice="4.772 0.000 0.000 0.000 4.772 0.000 0.000 0.000 4.257" Properties=species:S:1:pos:R:3 pbc="T T T"
Nb 0.000 0.000 0.000
Co 0.000 0.000 2.129
Pd 2.386 2.386 2.129
Pt 0.000 2.386 0.000
Pt 2.386 0.000 0.000
```